Sr2PbBr | PBE | relaxed

## Properties
Size of the total moment = 0.0002 μB per atom
Crystal system = cubic
ρ = 5.33 g cm⁻³
E_tot = -2.53 eV/atom
Offset from the most stable computed form = 0.734 eV per atom

a b c (Å): 5.884 5.884 5.884
angles (deg): 60.00 60.00 60.00
Sites, in units of the cell vectors:
Sr1 0.250 0.250 0.250
Br1 0.500 0.500 0.500
Pb1 0.750 0.750 0.750
Sr2 0.000 0.000 0.000



Sr2PbBr | PBE | relaxed

## Properties
Size of the total moment = 0.0000 μB per atom
Crystal system = monoclinic
ρ = 5.64 g cm⁻³
E_tot = -3.18 eV/atom
Offset from the most stable computed form = 0.075 eV per atom

a b c (Å): 9.268 5.966 3.824
angles (deg): 90.01 65.56 130.06
Sites, in units of the cell vectors:
Sr1 0.000 0.000 0.000
Br1 0.000 0.500 0.500
Pb1 0.500 0.500 0.000
Sr2 0.500 0.000 0.500



SrPbBr2 | PBE | relaxed

## Properties
Size of the total moment = 0.0000 μB per atom
Crystal system = tetragonal
ρ = 6.18 g cm⁻³
E_tot = -3.14 eV/atom
Offset from the most stable computed form = 0.233 eV per atom

a b c (Å): 5.212 5.212 4.499
angles (deg): 90.00 90.00 90.00
Sites, in units of the cell vectors:
Br1 0.000 0.000 0.000
Sr1 0.000 0.500 0.500
Pb1 0.500 0.000 0.500
Br2 0.500 0.500 0.000



Sr2PbBr | PBE | relaxed

## Properties
Size of the total moment = 0.0000 μB per atom
Crystal system = orthorhombic
ρ = 5.37 g cm⁻³
E_tot = -3.21 eV/atom
Offset from the most stable computed form = 0.048 eV per atom

a b c (Å): 6.753 6.753 5.556
angles (deg): 90.00 90.00 34.38
Sites, in units of the cell vectors:
Sr1 0.258 0.258 0.375
Br1 0.498 0.498 0.375
Sr2 0.006 0.006 0.875
Pb1 0.739 0.739 0.875



Sr2PbBr | PBE | relaxed

## Properties
Size of the total moment = 0.0000 μB per atom
Crystal system = trigonal
ρ = 5.00 g cm⁻³
E_tot = -3.17 eV/atom
Offset from the most stable computed form = 0.091 eV per atom

a b c (Å): 4.524 4.524 9.054
angles (deg): 75.53 75.53 60.00
Sites, in units of the cell vectors:
Br1 0.497 0.497 0.509
Sr1 0.080 0.080 0.759
Sr2 0.255 0.255 0.234
Pb1 0.668 0.668 0.997



Sr4PbBr | PBE | relaxed

## Properties
Size of the total moment = 0.0262 μB per atom
Crystal system = cubic
ρ = 3.95 g cm⁻³
E_tot = -2.02 eV/atom

a b c (Å): 7.239 7.239 7.239
angles (deg): 60.00 60.00 60.00
Sites, in units of the cell vectors:
Sr1 0.878 0.374 0.374
Sr2 0.374 0.878 0.374
Sr3 0.374 0.374 0.374
Sr4 0.374 0.374 0.878
Pb1 0.000 0.000 0.000
Br1 0.750 0.750 0.750



- Which value of size of the total moment does entry 5 give?
  0.0000 μB per atom



- Look up the ρ of the third one.
  6.18 g cm⁻³



- Among the records above, which one has the highest ρ?
  SrPbBr2